Material: Li3CrO
Method: DFT, PBE with a Hubbard U
State: relaxed

Properties
Density of states at the Fermi level (states/eV/f.u.): 0.153
Space group: Pm-3m, No. 221
Total DFT energy (no corrections) (eV for the cell shown): -21.5

The structure in POSCAR format:
```
Li3CrO
1.0
4.065 0.000 0.000
0.000 4.065 0.000
0.000 0.000 4.065
Li Cr O
3 1 1
direct
0.500 0.000 0.000
0.000 0.500 0.000
0.000 0.000 0.500
0.500 0.500 0.500
0.000 0.000 0.000
```